Density functional theory data (GGA-PBE) for an optimized crystal structure of ReSbRh2.

- Density: 13210 kg/m³
- Energy relative to the elements, uncorrected: 0.62 eV/f.u.

Unit cell a=2.8962 b=3.8341 c=5.8162 alpha=90.00 beta=90.00 gamma=90.00
Fractional positions:
Sb 0.0000 0.0000 0.4820
Rh 0.0000 0.0000 0.9810
Rh 0.5000 0.5000 0.2500
Re 0.5000 0.5000 0.7870

Density functional theory data (GGA-PBE) for an optimized crystal structure of Re2SbRh.

- Density: 15253 kg/m³
- Energy relative to the elements, uncorrected: 2.02 eV/f.u.

Unit cell a=8.8723 b=8.8723 c=8.8723 alpha=19.05 beta=19.05 gamma=19.05
Fractional positions:
Re 0.2481 0.2481 0.2481
Re 0.7519 0.7519 0.7519
Rh 0.5000 0.5000 0.5000
Sb 0.0000 0.0000 0.0000

Density functional theory data (GGA-PBE) for an optimized crystal structure of ReSbRh2.

- Density: 13181 kg/m³
- Energy relative to the elements, uncorrected: 0.65 eV/f.u.

Unit cell a=8.8663 b=8.8663 c=8.8663 alpha=19.02 beta=19.02 gamma=19.02
Fractional positions:
Rh 0.7486 0.7486 0.7486
Rh 0.2514 0.2514 0.2514
Re 0.0000 0.0000 0.0000
Sb 0.5000 0.5000 0.5000

Density functional theory data (GGA-PBE) for an optimized crystal structure of ReSbRh2.

- Density: 13363 kg/m³
- Energy relative to the elements, uncorrected: 0.49 eV/f.u.

Unit cell a=4.7717 b=4.7717 c=4.7494 alpha=80.77 beta=80.77 gamma=36.80
Fractional positions:
Rh 0.2544 0.2544 0.7340
Rh 0.7456 0.7456 0.2660
Re 0.0000 0.0000 0.5000
Sb 0.5000 0.5000 0.0000

Density functional theory data (GGA-PBE) for an optimized crystal structure of ReSbRh.

- Excess energy over the best structure of this formula in the dataset: 72 meV/atom
- Density: 13573 kg/m³
- Energy relative to the elements, uncorrected: 1.25 eV/f.u.

Unit cell a=4.8687 b=4.8687 c=4.8687 alpha=144.63 beta=130.46 gamma=62.33
Fractional positions:
Rh 0.6565 0.6565 0.0000
Re 0.0092 0.0092 0.0000
Sb 0.3343 0.3343 0.0000

Density functional theory data (GGA-PBE) for an optimized crystal structure of Re2SbRh.

- Density: 15267 kg/m³
- Energy relative to the elements, uncorrected: 1.96 eV/f.u.

Unit cell a=4.9387 b=4.9387 c=2.9483 alpha=90.00 beta=90.00 gamma=115.44
Fractional positions:
Re 0.0000 0.5000 0.0000
Re 0.5000 0.0000 0.0000
Sb 0.5000 0.5000 0.5000
Rh 0.0000 0.0000 0.5000

Density functional theory data (GGA-PBE) for an optimized crystal structure of Re2SbRh.

- Density: 14841 kg/m³
- Energy relative to the elements, uncorrected: 1.82 eV/f.u.

Unit cell a=4.2030 b=2.8806 c=5.6302 alpha=78.54 beta=90.00 gamma=90.00
Fractional positions:
Sb 0.5000 0.5000 0.5000
Re 0.0000 0.0919 0.7796
Re 0.0000 0.9081 0.2204
Rh 0.5000 0.5000 0.0000

Density functional theory data (GGA-PBE) for an optimized crystal structure of Re2SbRh.

- Density: 15568 kg/m³
- Energy relative to the elements, uncorrected: 1.27 eV/f.u.

Unit cell a=4.8146 b=4.8146 c=4.8146 alpha=130.14 beta=130.14 gamma=73.19
Fractional positions:
Rh 0.5000 0.5000 0.0000
Re 0.2500 0.7500 0.5000
Re 0.0000 0.0000 0.0000
Sb 0.7500 0.2500 0.5000

Density functional theory data (GGA-PBE) for an optimized crystal structure of ReSbRh2.

- Density: 13184 kg/m³
- Energy relative to the elements, uncorrected: 1.03 eV/f.u.

Unit cell a=4.7773 b=4.7773 c=2.8354 alpha=90.00 beta=90.00 gamma=90.00
Fractional positions:
Rh 0.5000 0.0000 0.0000
Rh 0.0000 0.5000 0.0000
Re 0.0000 0.0000 0.5000
Sb 0.5000 0.5000 0.5000

Density functional theory data (GGA-PBE) for an optimized crystal structure of Re2SbRh.

- Density: 15283 kg/m³
- Energy relative to the elements, uncorrected: 1.84 eV/f.u.

Unit cell a=3.8300 b=3.8300 c=4.4226 alpha=90.00 beta=90.00 gamma=90.00
Fractional positions:
Sb 0.0000 0.0000 0.5000
Re 0.5000 0.0000 0.0000
Re 0.0000 0.5000 0.0000
Rh 0.5000 0.5000 0.5000

Density functional theory data (GGA-PBE) for an optimized crystal structure of Re2SbRh.

- Density: 15130 kg/m³
- Energy relative to the elements, uncorrected: 1.69 eV/f.u.

Unit cell a=5.4938 b=5.4938 c=5.4938 alpha=147.50 beta=132.12 gamma=59.07
Fractional positions:
Rh 0.0000 0.5000 0.5000
Sb 0.5000 0.0000 0.5000
Re 0.7246 0.7246 0.0000
Re 0.2754 0.2754 0.0000

Density functional theory data (GGA-PBE) for an optimized crystal structure of Re2SbRh.

- Density: 15010 kg/m³
- Energy relative to the elements, uncorrected: 1.02 eV/f.u.

Unit cell a=3.8870 b=2.9766 c=5.7159 alpha=87.22 beta=90.00 gamma=90.00
Fractional positions:
Re 0.0000 0.0096 0.9619
Re 0.5000 0.4580 0.7788
Rh 0.0000 0.0186 0.4870
Sb 0.5000 0.5138 0.2723

Density functional theory data (GGA-PBE) for an optimized crystal structure of ReSbRh2.

- Density: 13043 kg/m³
- Energy relative to the elements, uncorrected: 1.29 eV/f.u.

Unit cell a=8.7909 b=8.7909 c=8.7909 alpha=19.38 beta=19.38 gamma=19.38
Fractional positions:
Rh 0.7517 0.7517 0.7517
Rh 0.9973 0.9973 0.9973
Sb 0.4981 0.4981 0.4981
Re 0.2530 0.2530 0.2530

Density functional theory data (GGA-PBE) for an optimized crystal structure of Re2SbRh.

- Density: 15167 kg/m³
- Energy relative to the elements, uncorrected: 1.84 eV/f.u.

Unit cell a=3.0639 b=4.4489 c=4.7957 alpha=90.00 beta=90.00 gamma=90.00
Fractional positions:
Re 0.0000 0.0000 0.0000
Re 0.5000 0.5000 0.0000
Sb 0.0000 0.5000 0.5000
Rh 0.5000 0.0000 0.5000

Density functional theory data (GGA-PBE) for an optimized crystal structure of ReSb2TeRh.

- Excess energy over the best structure of this formula in the dataset: 145 meV/atom
- Density: 8312 kg/m³
- Energy relative to the elements, uncorrected: 6.10 eV/f.u.

Unit cell a=5.0188 b=5.0188 c=5.2363 alpha=90.00 beta=90.00 gamma=90.00
Fractional positions:
Re 0.5000 0.5000 0.5000
Te 0.0000 0.0000 0.5000
Sb 0.0000 0.5000 0.0000
Sb 0.5000 0.0000 0.0000
Rh 0.0000 0.0000 0.0000

Density functional theory data (GGA-PBE) for an optimized crystal structure of ReSb2TeRh.

- Excess energy over the best structure of this formula in the dataset: 0 meV/atom
- Density: 8135 kg/m³
- Energy relative to the elements, uncorrected: 5.37 eV/f.u.

Unit cell a=5.0999 b=5.0999 c=5.1817 alpha=90.00 beta=90.00 gamma=90.00
Fractional positions:
Sb 0.0000 0.5000 0.0000
Sb 0.5000 0.0000 0.0000
Rh 0.5000 0.5000 0.5000
Te 0.0000 0.0000 0.5000
Re 0.0000 0.0000 0.0000

Density functional theory data (GGA-PBE) for an optimized crystal structure of ScReRh2.

- Energy of formation from the pure elements: -0.200 eV/atom
- Excess energy over the best structure of this formula in the dataset: 176 meV/atom
- Density: 11377 kg/m³

Unit cell a=5.6229 b=5.6229 c=5.6229 alpha=150.59 beta=132.65 gamma=56.73
Fractional positions:
Sc 0.4991 0.4991 0.0000
Rh 0.7686 0.2686 0.5000
Rh 0.0068 0.0068 0.0000
Re 0.2255 0.7255 0.5000

Density functional theory data (GGA-PBE) for an optimized crystal structure of ScRe2Rh.

- Energy of formation from the pure elements: 0.330 eV/atom
- Excess energy over the best structure of this formula in the dataset: 492 meV/atom
- Density: 13706 kg/m³

Unit cell a=4.4672 b=4.4672 c=4.4672 alpha=60.00 beta=60.00 gamma=60.00
Fractional positions:
Re 0.2500 0.2500 0.2500
Re 0.7500 0.7500 0.7500
Sc 0.0000 0.0000 0.0000
Rh 0.5000 0.5000 0.5000

Density functional theory data (GGA-PBE) for an optimized crystal structure of ScReRh2.

- Energy of formation from the pure elements: -0.091 eV/atom
- Excess energy over the best structure of this formula in the dataset: 284 meV/atom
- Density: 11683 kg/m³

Unit cell a=4.4452 b=4.4452 c=4.4452 alpha=60.00 beta=60.00 gamma=60.00
Fractional positions:
Sc 0.2500 0.2500 0.2500
Re 0.5000 0.5000 0.5000
Rh 0.0000 0.0000 0.0000
Rh 0.7500 0.7500 0.7500

Density functional theory data (GGA-PBE) for an optimized crystal structure of ScReRh2.

- Energy of formation from the pure elements: -0.209 eV/atom
- Excess energy over the best structure of this formula in the dataset: 167 meV/atom
- Density: 11694 kg/m³

Unit cell a=4.9298 b=4.9298 c=4.9298 alpha=133.45 beta=133.45 gamma=67.94
Fractional positions:
Sc 0.5000 0.5000 0.0000
Rh 0.0000 0.0000 0.0000
Rh 0.2500 0.7500 0.5000
Re 0.7500 0.2500 0.5000

Density functional theory data (GGA-PBE) for an optimized crystal structure of ScReRh2.

- Energy of formation from the pure elements: -0.130 eV/atom
- Excess energy over the best structure of this formula in the dataset: 245 meV/atom
- Density: 11507 kg/m³

Unit cell a=4.4678 b=4.4678 c=4.4678 alpha=60.00 beta=60.00 gamma=60.00
Fractional positions:
Sc 0.0000 0.0000 0.0000
Re 0.5000 0.5000 0.5000
Rh 0.2500 0.2500 0.2500
Rh 0.7500 0.7500 0.7500

Density functional theory data (GGA-PBE) for an optimized crystal structure of ScRe2Rh.

- Energy of formation from the pure elements: -0.023 eV/atom
- Excess energy over the best structure of this formula in the dataset: 139 meV/atom
- Density: 13472 kg/m³

Unit cell a=5.1663 b=5.1663 c=5.1663 alpha=143.57 beta=127.46 gamma=65.62
Fractional positions:
Re 0.9825 0.9825 0.0000
Re 0.7590 0.2590 0.5000
Sc 0.2489 0.7489 0.5000
Rh 0.5097 0.5097 0.0000

Density functional theory data (GGA-PBE) for an optimized crystal structure of ScReRh.

- Energy of formation from the pure elements: -0.127 eV/atom
- Excess energy over the best structure of this formula in the dataset: 120 meV/atom
- Density: 11205 kg/m³

Unit cell a=4.5121 b=4.5121 c=2.8079 alpha=90.00 beta=90.00 gamma=120.00
Fractional positions:
Sc 0.6667 0.3333 0.6666
Rh 0.3333 0.6667 0.1666
Re 0.0000 0.0000 0.1667

Density functional theory data (GGA-PBE) for an optimized crystal structure of ScReRh2.

- Energy of formation from the pure elements: -0.376 eV/atom
- Excess energy over the best structure of this formula in the dataset: 0 meV/atom
- Density: 11824 kg/m³

Unit cell a=4.7471 b=4.7471 c=2.8375 alpha=90.00 beta=90.00 gamma=106.32
Fractional positions:
Rh 0.0000 0.0000 0.0000
Rh 0.5000 0.5000 0.0000
Re 0.0000 0.5000 0.5000
Sc 0.5000 0.0000 0.5000

Density functional theory data (GGA-PBE) for an optimized crystal structure of ScRe2Rh.

- Energy of formation from the pure elements: -0.162 eV/atom
- Excess energy over the best structure of this formula in the dataset: 0 meV/atom
- Density: 13512 kg/m³

Unit cell a=3.1040 b=3.1034 c=6.6373 alpha=90.00 beta=90.00 gamma=90.00
Fractional positions:
Re 0.0000 0.0000 0.0181
Re 0.5000 0.5000 0.2310
Sc 0.5000 0.5000 0.7428
Rh 0.0000 0.0000 0.5081

Density functional theory data (GGA-PBE) for an optimized crystal structure of ScReRh.

- Energy of formation from the pure elements: -0.095 eV/atom
- Excess energy over the best structure of this formula in the dataset: 152 meV/atom
- Density: 11264 kg/m³

Unit cell a=5.2224 b=5.2224 c=5.2224 alpha=147.81 beta=139.25 gamma=52.85
Fractional positions:
Sc 0.3315 0.3315 0.0000
Re 0.0126 0.0126 0.0000
Rh 0.6559 0.6559 0.0000

Density functional theory data (GGA-PBE) for an optimized crystal structure of ScReRh2.

- Energy of formation from the pure elements: -0.101 eV/atom
- Excess energy over the best structure of this formula in the dataset: 274 meV/atom
- Density: 11616 kg/m³

Unit cell a=8.9979 b=8.9979 c=8.9979 alpha=18.26 beta=18.26 gamma=18.26
Fractional positions:
Rh 0.0013 0.0013 0.0013
Rh 0.4987 0.4987 0.4987
Sc 0.2500 0.2500 0.2500
Re 0.7500 0.7500 0.7500

Density functional theory data (GGA-PBE) for an optimized crystal structure of ScReRh4.

- Energy of formation from the pure elements: -0.001 eV/atom
- Density: 11325 kg/m³

Unit cell a=5.1081 b=5.1081 c=5.1081 alpha=60.00 beta=60.00 gamma=60.00
Fractional positions:
Rh 0.3750 0.3750 0.3750
Rh 0.3750 0.3750 0.8751
Rh 0.3750 0.8751 0.3750
Rh 0.8751 0.3750 0.3750
Sc 0.7500 0.7500 0.7500
Re 0.0000 0.0000 0.0000

Density functional theory data (GGA-PBE) for an optimized crystal structure of ScReRh2.

- Energy of formation from the pure elements: 0.242 eV/atom
- Excess energy over the best structure of this formula in the dataset: 617 meV/atom
- Density: 10375 kg/m³

Unit cell a=4.0447 b=4.0447 c=9.0158 alpha=77.04 beta=77.04 gamma=90.00
Fractional positions:
Rh 0.3750 0.3568 0.7500
Rh 0.8750 0.8932 0.7500
Rh 0.6432 0.1250 0.2500
Rh 0.1068 0.6250 0.2500
Re 0.0000 0.0000 0.0000
Re 0.7500 0.2500 0.5000
Sc 0.2500 0.7500 0.5000
Sc 0.5000 0.5000 0.0000

Density functional theory data (GGA-PBE) for an optimized crystal structure of ScRe2Rh.

- Energy of formation from the pure elements: -0.097 eV/atom
- Excess energy over the best structure of this formula in the dataset: 65 meV/atom
- Density: 13619 kg/m³

Unit cell a=4.3052 b=2.7737 c=5.4396 alpha=77.58 beta=90.00 gamma=90.00
Fractional positions:
Re 0.0000 0.9628 0.0209
Re 0.5000 0.2160 0.2171
Rh 0.0000 0.5435 0.5270
Sc 0.5000 0.7777 0.7350

Ordered spin magnetization results: 0.000 0.000 0.000 0.000 0.000 0.000 0.001 0.000 0.754 0.001 0.000 0.000 0.000 0.002 2.547 0.000 0.000 1.509 0.000 0.003 0.000 0.000 0.000 0.000 0.000 0.000 0.000 0.000 0.000 0.000; unit μB/cell.